Below is Na3Ho2RhO6 after structural relaxation, with properties calculated at the PBE level.

Magnetization (μB/atom): 0.00
Formation energy (no corrections) (eV/atom): -2.2202
Space group: C2/m

Cell and atoms, written as POSCAR:
```
Na3Ho2RhO6
1.0
-1.566 -3.066 -4.505
-1.853 -1.411 5.169
-3.340 4.759 -0.913
Na Ho Rh O
3 2 1 6
Cartesian
-3.478 0.710 3.204
-3.281 -0.428 -3.452
-3.380 0.141 -0.124
-1.758 -1.962 1.951
-1.662 -2.516 -1.286
0.000 0.000 0.000
-5.209 0.026 -1.747
-3.269 -2.350 0.305
-1.550 0.255 1.498
-5.301 0.553 1.336
-3.490 2.631 -0.553
-1.459 -0.272 -1.584
```

=====

Below is Hf2BS after structural relaxation, with properties calculated at the PBE level.

Magnetization (μB/atom): 0.00
Formation energy (no corrections) (eV/atom): -0.3231
Space group: Fm-3m

Cell and atoms, written as POSCAR:
```
Hf2BS
1.0
0.000 3.110 3.110
3.110 0.000 3.110
3.110 3.110 0.000
S B Hf
1 1 2
Cartesian
3.110 3.110 3.110
0.000 0.000 0.000
1.555 1.555 1.555
4.665 4.665 4.665
```

=====

Below is KCoSe after structural relaxation, with properties calculated at the PBE level.

Magnetization (μB/atom): 0.74
Formation energy (no corrections) (eV/atom): 0.8573
Space group: F-43m

Cell and atoms, written as POSCAR:
```
KCoSe
1.0
-3.008 -3.674 -1.474
1.615 -3.371 -3.279
0.878 -4.670 1.464
Co K Se
1 1 1
Cartesian
-0.258 -5.858 -1.644
-0.129 -2.929 -0.822
0.000 0.000 0.000
```

=====

Below is LaTbSmTm after structural relaxation, with properties calculated at the PBE level.

Magnetization (μB/atom): 0.00
Space group: Cm
Formation energy from the elements (eV per atom): 0.10

Cell and atoms, written as POSCAR:
```
LaTbSmTm
1.0
3.761 0.000 0.592
0.000 5.901 0.000
0.915 -2.950 6.174
La Tb Sm Tm
1 1 1 1
Cartesian
1.685 0.000 2.002
3.292 0.000 5.377
1.485 2.950 4.799
3.708 2.950 2.262
```

=====

Here are the calculated total energy numbers, same order: -76.9 -32.0 -9.1 -18.3 (eV per cell).